Run 1
DFT (PBE-GGA) results for a relaxed structure of IrPtNO.

Unit cell a=2.764 b=5.467 c=7.128 alpha=90.00 beta=90.00 gamma=90.00
Sites, in units of the cell vectors:
O: 0.500 0.351 0.083
O: 0.500 0.851 0.917
N: 0.000 0.317 0.709
N: 0.000 0.817 0.291
Ir: 0.500 0.017 0.159
Ir: 0.500 0.517 0.841
Pt: 0.000 0.069 0.504
Pt: 0.000 0.569 0.496

Computed properties:
Calculated volume ... 13.465 A^3/atom



Run 2
DFT (PBE-GGA) results for a relaxed structure of IrPtNO.

Unit cell a=3.885 b=3.885 c=6.160 alpha=90.00 beta=90.00 gamma=90.23
Sites, in units of the cell vectors:
Pt: 0.250 0.750 0.343
Pt: 0.750 0.250 0.657
N: 0.750 0.250 0.139
N: 0.250 0.750 0.861
O: 0.750 0.750 0.500
O: 0.250 0.250 0.500
Ir: 0.750 0.750 0.000
Ir: 0.250 0.250 0.000

Computed properties:
Calculated volume ... 11.620 A^3/atom



Bottom line: run 1, by a margin of 468 meV per atom.



Run 1
DFT (PBE-GGA) results for a relaxed structure of Cu5Ag4.

Unit cell a=2.779 b=2.779 c=19.799 alpha=90.00 beta=90.00 gamma=120.00
Sites, in units of the cell vectors:
Cu: 0.667 0.333 0.981
Cu: 0.000 0.000 0.559
Cu: 0.333 0.667 0.460
Cu: 0.333 0.667 0.784
Cu: 0.000 0.000 0.883
Ag: 0.667 0.333 0.672
Ag: 0.333 0.667 0.094
Ag: 0.667 0.333 0.347
Ag: 0.000 0.000 0.220

Computed properties:
Calculated volume ... 14.717 A^3/atom



Run 2
DFT (PBE-GGA) results for a relaxed structure of Cu5Ag4.

Unit cell a=13.176 b=13.176 c=13.176 alpha=167.72 beta=164.39 gamma=19.91
Sites, in units of the cell vectors:
Cu: 0.548 0.548 0.000
Cu: 0.000 0.000 0.000
Cu: 0.660 0.660 0.000
Cu: 0.452 0.452 0.000
Cu: 0.340 0.340 0.000
Ag: 0.104 0.104 0.000
Ag: 0.216 0.216 0.000
Ag: 0.784 0.784 0.000
Ag: 0.896 0.896 0.000

Computed properties:
Calculated volume ... 14.552 A^3/atom



Run 3
DFT (PBE-GGA) results for a relaxed structure of Cu5Ag4.

Unit cell a=2.785 b=2.785 c=19.745 alpha=90.00 beta=90.00 gamma=120.00
Sites, in units of the cell vectors:
Cu: 0.333 0.667 0.549
Cu: 0.667 0.333 0.451
Cu: 0.333 0.667 0.224
Cu: 0.000 0.000 0.000
Cu: 0.667 0.333 0.776
Ag: 0.000 0.000 0.663
Ag: 0.667 0.333 0.112
Ag: 0.333 0.667 0.888
Ag: 0.000 0.000 0.337

Computed properties:
Calculated volume ... 14.738 A^3/atom



Bottom line: run 2, by a margin of 10 meV per atom.



Run 1
DFT (PBE-GGA) results for a relaxed structure of Cu5Ag4.

Unit cell a=4.670 b=4.670 c=8.136 alpha=103.94 beta=103.94 gamma=50.07
Sites, in units of the cell vectors:
Ag: 0.007 0.007 0.333
Ag: 0.993 0.993 0.667
Ag: 0.334 0.334 0.112
Ag: 0.666 0.666 0.888
Cu: 0.333 0.333 0.452
Cu: 0.667 0.667 0.548
Cu: 0.000 0.000 0.000
Cu: 0.326 0.326 0.768
Cu: 0.674 0.674 0.232

Computed properties:
Calculated volume ... 14.575 A^3/atom



Run 2
DFT (PBE-GGA) results for a relaxed structure of Cu5Ag4.

Unit cell a=13.252 b=13.252 c=13.252 alpha=167.84 beta=164.46 gamma=19.78
Sites, in units of the cell vectors:
Cu: 0.273 0.273 0.000
Cu: 0.727 0.727 0.000
Cu: 0.952 0.952 0.000
Cu: 0.048 0.048 0.000
Cu: 0.500 0.500 0.000
Ag: 0.396 0.396 0.000
Ag: 0.604 0.604 0.000
Ag: 0.170 0.170 0.000
Ag: 0.830 0.830 0.000

Computed properties:
Calculated volume ... 14.598 A^3/atom



Bottom line: run 2, by a margin of 18 meV per atom.



Run 1
DFT (PBE-GGA) results for a relaxed structure of LuSnPO.

Unit cell a=4.593 b=6.436 c=6.112 alpha=90.00 beta=90.00 gamma=90.00
Sites, in units of the cell vectors:
Lu: 0.000 0.852 0.055
Lu: 0.000 0.148 0.555
Sn: 0.500 0.708 0.433
Sn: 0.500 0.292 0.933
O: 0.000 0.862 0.402
O: 0.000 0.138 0.902
P: 0.500 0.713 0.864
P: 0.500 0.287 0.364

Computed properties:
Calculated volume ... 22.584 A^3/atom



Run 2
DFT (PBE-GGA) results for a relaxed structure of LuSnPO.

Unit cell a=5.332 b=5.332 c=5.170 alpha=90.00 beta=90.00 gamma=90.00
Sites, in units of the cell vectors:
Sn: 0.250 0.250 0.022
Sn: 0.750 0.750 0.978
Lu: 0.750 0.250 0.500
Lu: 0.250 0.750 0.500
O: 0.750 0.250 0.000
O: 0.250 0.750 0.000
P: 0.250 0.250 0.527
P: 0.750 0.750 0.473

Computed properties:
Calculated volume ... 18.372 A^3/atom



Bottom line: run 1, by a margin of 196 meV per atom.



Run 1
DFT (PBE-GGA) results for a relaxed structure of Pa.

Unit cell a=3.224 b=3.224 c=11.123 alpha=90.00 beta=90.00 gamma=120.00
Sites, in units of the cell vectors:
Pa: 0.000 0.000 0.500
Pa: 0.667 0.333 0.750
Pa: 0.000 0.000 0.000
Pa: 0.333 0.667 0.250

Computed properties:
Calculated volume ... 25.037 A^3/atom



Run 2
DFT (PBE-GGA) results for a relaxed structure of Pa.

Unit cell a=4.071 b=4.071 c=4.070 alpha=120.01 beta=120.01 gamma=60.00
Sites, in units of the cell vectors:
Pa: 0.250 0.250 0.750
Pa: 0.750 0.750 0.250

Computed properties:
Calculated volume ... 23.845 A^3/atom



Bottom line: run 1, by a margin of 587 meV per atom.



Run 1
DFT (PBE-GGA) results for a relaxed structure of TaH4.

Unit cell a=3.188 b=5.513 c=5.513 alpha=106.60 beta=90.00 gamma=90.00
Sites, in units of the cell vectors:
H: 0.500 0.952 0.607
H: 0.500 0.607 0.952
H: 0.500 0.287 0.926
H: 0.500 0.601 0.367
H: 0.000 0.463 0.463
H: 0.000 0.157 0.500
H: 0.500 0.926 0.287
H: 0.000 0.108 0.108
H: 0.500 0.217 0.217
H: 0.500 0.367 0.601
H: 0.000 0.500 0.157
H: 0.000 0.775 0.775
Ta: 0.000 0.794 0.424
Ta: 0.000 0.424 0.794
Ta: 0.500 0.953 0.953

Computed properties:
Calculated volume ... 6.190 A^3/atom



Run 2
DFT (PBE-GGA) results for a relaxed structure of TaH4.

Unit cell a=3.482 b=3.482 c=5.287 alpha=90.00 beta=90.00 gamma=120.00
Sites, in units of the cell vectors:
H: 0.496 0.991 0.185
H: 0.496 0.991 0.815
H: 0.496 0.504 0.815
H: 0.000 0.000 0.500
H: 0.496 0.504 0.185
H: 0.009 0.504 0.185
H: 0.009 0.504 0.815
H: 0.333 0.667 0.500
Ta: 0.667 0.333 0.500
Ta: 0.000 0.000 0.000

Computed properties:
Calculated volume ... 5.551 A^3/atom



Bottom line: run 1, by a margin of 142 meV per atom.



Run 1
DFT (PBE-GGA) results for a relaxed structure of AsPOsO.

Unit cell a=3.959 b=3.959 c=7.732 alpha=90.00 beta=90.00 gamma=90.00
Sites, in units of the cell vectors:
As: 0.000 0.000 0.115
As: 0.500 0.500 0.885
O: 0.000 0.500 0.000
O: 0.500 0.000 0.000
Os: 0.500 0.000 0.500
Os: 0.000 0.500 0.500
P: 0.500 0.500 0.341
P: 0.000 0.000 0.659

Computed properties:
Calculated volume ... 15.146 A^3/atom



Run 2
DFT (PBE-GGA) results for a relaxed structure of AsPOsO.

Unit cell a=4.039 b=5.799 c=5.161 alpha=90.00 beta=90.00 gamma=90.00
Sites, in units of the cell vectors:
O: 0.500 0.763 0.861
O: 0.500 0.237 0.361
As: 0.000 0.819 0.953
As: 0.000 0.181 0.453
Os: 0.500 0.571 0.520
Os: 0.500 0.429 0.020
P: 0.000 0.751 0.420
P: 0.000 0.249 0.920

Computed properties:
Calculated volume ... 15.109 A^3/atom



Bottom line: run 1, by a margin of 167 meV per atom.



Run 1
DFT (PBE-GGA) results for a relaxed structure of TaFeAgAs.

Unit cell a=4.464 b=4.464 c=4.464 alpha=60.00 beta=60.00 gamma=60.00
Sites, in units of the cell vectors:
Fe: 0.750 0.750 0.750
As: 0.000 0.000 0.000
Ag: 0.500 0.500 0.500
Ta: 0.250 0.250 0.250

Computed properties:
Calculated volume ... 15.727 A^3/atom



Run 2
DFT (PBE-GGA) results for a relaxed structure of TaFeAgAs.

Unit cell a=4.473 b=4.473 c=4.473 alpha=60.00 beta=60.00 gamma=60.00
Sites, in units of the cell vectors:
Ta: 0.500 0.500 0.500
Fe: 0.750 0.750 0.750
As: 0.000 0.000 0.000
Ag: 0.250 0.250 0.250

Computed properties:
Calculated volume ... 15.819 A^3/atom



Bottom line: run 1, by a margin of 147 meV per atom.